No. 1
First-principles (GGA-PBE) data for an optimized crystal structure of Tl3CdCl4, as listed in the Alexandria database.

Lattice parameters (Å, degrees): 6.3755 6.3755 7.8316 114.02 114.02 90.00
Sites, in units of the cell vectors:
Cl1 0.0000 0.5000 0.0000
Cl2 0.7623 0.7623 0.5247
Cl3 0.5000 0.0000 0.0000
Tl1 0.5000 0.5000 0.0000
Cd1 0.0000 0.0000 0.0000
Tl2 0.7500 0.2500 0.5000
Tl3 0.2500 0.7500 0.5000
Cl4 0.2377 0.2377 0.4753

Values from the calculation:
The formation energy from raw total energies is -6.716 eV per formula unit. Its space group is No. 139.


No. 2
First-principles (GGA-PBE) data for an optimized crystal structure of LaScIrAu, as listed in the Alexandria database.

Lattice parameters (Å, degrees): 4.9799 4.9799 4.9799 60.00 60.00 60.00
Sites, in units of the cell vectors:
Au1 0.0000 0.0000 0.0000
La1 0.7500 0.7500 0.7500
Sc1 0.2500 0.2500 0.2500
Ir1 0.5000 0.5000 0.5000

Values from the calculation:
The formation energy comes out at -0.6535 eV per atom. Its space group is No. 216.


No. 3
First-principles (GGA-PBE) data for an optimized crystal structure of Pr2Dy4Y5, as listed in the Alexandria database.

Lattice parameters (Å, degrees): 3.4761 8.7918 12.1293 96.11 98.24 90.00
Sites, in units of the cell vectors:
Y1 0.8593 0.8784 0.7185
Dy1 0.3224 0.5274 0.6449
Y2 0.2330 0.8243 0.4661
Dy2 0.0456 0.3612 0.0913
Y3 0.1407 0.1216 0.2815
Pr1 0.9084 0.2596 0.8167
Dy3 0.9544 0.6388 0.9087
Pr2 0.0916 0.7404 0.1833
Y4 0.5000 0.0000 0.0000
Dy4 0.6776 0.4726 0.3551
Y5 0.7670 0.1757 0.5339

Values from the calculation:
The formation energy comes out at 0.1506 eV per atom. Its polymorph energy (0 for the lowest one) is 0.0 meV/atom. Its space group is No. 12.


No. 4
First-principles (GGA-PBE) data for an optimized crystal structure of NaScTe4, as listed in the Alexandria database.

Lattice parameters (Å, degrees): 6.6547 6.6547 8.0740 90.00 90.00 90.00
Sites, in units of the cell vectors:
Na1 0.0000 0.0000 0.5000
Te1 0.8489 0.6511 0.7822
Sc1 0.5000 0.5000 0.0000
Sc2 0.0000 0.0000 0.0000
Te2 0.1511 0.3489 0.7822
Na2 0.5000 0.5000 0.5000
Te3 0.3489 0.8489 0.7822
Te4 0.6511 0.8489 0.2178
Te5 0.6511 0.1511 0.7822
Te6 0.1511 0.6511 0.2178
Te7 0.3489 0.1511 0.2178
Te8 0.8489 0.3489 0.2178

Values from the calculation:
The formation energy from raw total energies is -4.474 eV per formula unit. Its space group is No. 125.


No. 5
First-principles (GGA-PBE) data for an optimized crystal structure of KInFe2, as listed in the Alexandria database.

Lattice parameters (Å, degrees): 5.5560 5.5560 2.8265 90.00 90.00 110.92
Sites, in units of the cell vectors:
Fe1 0.5000 0.5000 0.0000
In1 0.5000 0.0000 0.5000
Fe2 0.0000 0.0000 0.0000
K1 0.0000 0.5000 0.5000

Values from the calculation:
The formation energy comes out at 1.0302 eV per atom. Its space group is No. 65.


No. 6
First-principles (GGA-PBE) data for an optimized crystal structure of ZnPd3F, as listed in the Alexandria database.

Lattice parameters (Å, degrees): 4.7062 4.7062 4.7062 90.00 90.00 90.00
Sites, in units of the cell vectors:
Pd1 0.0000 0.5000 0.0000
Pd2 0.0000 0.0000 0.5000
F1 0.5000 0.5000 0.5000
Zn1 0.0000 0.0000 0.0000
Pd3 0.5000 0.0000 0.0000

Values from the calculation:
The formation energy from raw total energies is 2.550 eV per formula unit. Its polymorph energy (0 for the lowest one) is 367.8 meV/atom. Its space group is No. 221.


No. 7
First-principles (GGA-PBE) data for an optimized crystal structure of SmErH2, as listed in the Alexandria database.

Lattice parameters (Å, degrees): 3.5091 3.5091 6.0473 73.13 73.13 60.00
Sites, in units of the cell vectors:
Sm1 0.0000 0.0000 0.0000
H1 0.2449 0.2449 0.2653
H2 0.7551 0.7551 0.7347
Er1 0.5000 0.5000 0.5000

Values from the calculation:
Its polymorph energy (0 for the lowest one) is 0.0 meV/atom. Its space group is No. 166.


No. 8
First-principles (GGA-PBE) data for an optimized crystal structure of YGa3Br, as listed in the Alexandria database.

Lattice parameters (Å, degrees): 5.7891 5.7891 5.7891 90.00 90.00 90.00
Sites, in units of the cell vectors:
Ga1 0.0000 0.5000 0.0000
Y1 0.0000 0.0000 0.0000
Br1 0.5000 0.5000 0.5000
Ga2 0.0000 0.0000 0.5000
Ga3 0.5000 0.0000 0.0000

Values from the calculation:
The formation energy from raw total energies is 2.550 eV per formula unit. Its polymorph energy (0 for the lowest one) is 193.0 meV/atom. Its space group is No. 221.


No. 9
First-principles (GGA-PBE) data for an optimized crystal structure of Ho5Cu2Hg2, as listed in the Alexandria database.

Lattice parameters (Å, degrees): 7.2549 7.2398 9.2191 113.12 90.00 90.00
Sites, in units of the cell vectors:
Ho1 0.3254 0.6912 0.7404
Cu1 0.6224 0.8783 0.0000
Ho2 0.1746 0.4508 0.2596
Ho3 0.8254 0.8088 0.2596
Cu2 0.1224 0.6217 0.0000
Ho4 0.5000 0.5000 0.0000
Hg1 0.5000 0.7227 0.4453
Ho5 0.0000 0.0000 0.0000
Ho6 0.6746 0.0492 0.7404
Ho7 0.8254 0.5492 0.7404
Ho8 0.1746 0.1912 0.7404
Cu3 0.8776 0.3783 0.0000
Hg2 0.0000 0.7773 0.5547
Hg3 0.5000 0.2773 0.5547
Ho9 0.3254 0.9508 0.2596
Hg4 0.0000 0.2227 0.4453
Cu4 0.3776 0.1217 0.0000
Ho10 0.6746 0.3088 0.2596

Values from the calculation:
The formation energy comes out at -0.2867 eV per atom. Its space group is No. 64.


No. 10
First-principles (GGA-PBE) data for an optimized crystal structure of CaCo2BiPt, as listed in the Alexandria database.

Lattice parameters (Å, degrees): 4.7545 5.2725 4.7545 90.00 90.00 90.00
Sites, in units of the cell vectors:
Pt1 0.0000 0.0000 0.0000
Ca1 0.0000 0.5000 0.0000
Bi1 0.5000 0.5000 0.5000
Co1 0.0000 0.0000 0.5000
Co2 0.5000 0.0000 0.0000

Values from the calculation:
The formation energy comes out at 0.4616 eV per atom. Its space group is No. 123.


No. 11
First-principles (GGA-PBE) data for an optimized crystal structure of Sr4ScMo, as listed in the Alexandria database.

Lattice parameters (Å, degrees): 6.9906 6.9906 6.9906 60.00 60.00 60.00
Sites, in units of the cell vectors:
Mo1 0.7500 0.7500 0.7500
Sc1 0.0000 0.0000 0.0000
Sr1 0.3749 0.3749 0.3749
Sr2 0.3749 0.8753 0.3749
Sr3 0.3749 0.3749 0.8753
Sr4 0.8753 0.3749 0.3749

Values from the calculation:
The formation energy comes out at 1.1460 eV per atom. Its space group is No. 216.


No. 12
First-principles (GGA-PBE) data for an optimized crystal structure of Li3Mg2RhO6, as listed in the Alexandria database.

Lattice parameters (Å, degrees): 5.1901 5.1901 5.1680 99.64 99.64 120.01
Sites, in units of the cell vectors:
O1 0.2443 0.2443 0.7706
Li1 0.5000 0.5000 0.5000
Mg1 0.6671 0.3329 0.0000
O2 0.7557 0.7557 0.2294
O3 0.9230 0.6029 0.7678
Mg2 0.3329 0.6671 0.0000
O4 0.6029 0.9230 0.7678
O5 0.3971 0.0770 0.2322
Rh1 0.0000 0.0000 0.0000
O6 0.0770 0.3971 0.2322
Li2 0.8392 0.1608 0.5000
Li3 0.1608 0.8392 0.5000

Values from the calculation:
The formation energy from raw total energies is -22.273 eV per formula unit. Its space group is No. 12.


No. 13
First-principles (GGA-PBE) data for an optimized crystal structure of PrTcC2, as listed in the Alexandria database.

Lattice parameters (Å, degrees): 4.1459 3.8927 3.8927 103.11 90.00 90.00
Sites, in units of the cell vectors:
C1 0.5000 0.1403 0.5639
Tc1 0.5000 0.6149 0.3851
C2 0.5000 0.4361 0.8597
Pr1 0.0000 0.0238 0.9762

Values from the calculation:
The formation energy comes out at -0.0507 eV per atom. Its polymorph energy (0 for the lowest one) is 0.0 meV/atom. Its space group is No. 38.


No. 14
First-principles (GGA-PBE) data for an optimized crystal structure of Sm6P2Se3N, as listed in the Alexandria database.

Lattice parameters (Å, degrees): 6.9521 6.9521 7.1765 99.34 99.34 119.86
Sites, in units of the cell vectors:
P1 0.3339 0.6661 0.0000
Sm1 0.7612 0.7612 0.2213
N1 0.0000 0.0000 0.0000
Se1 0.1725 0.8275 0.5000
P2 0.6661 0.3339 0.0000
Se2 0.5000 0.5000 0.5000
Sm2 0.6159 0.9277 0.7830
Sm3 0.0723 0.3841 0.2170
Sm4 0.2388 0.2388 0.7787
Sm5 0.3841 0.0723 0.2170
Sm6 0.9277 0.6159 0.7830
Se3 0.8275 0.1725 0.5000

Values from the calculation:
The formation energy from raw total energies is -20.452 eV per formula unit. Its space group is No. 12.


No. 15
First-principles (GGA-PBE) data for an optimized crystal structure of AcSmRh, as listed in the Alexandria database.

Lattice parameters (Å, degrees): 4.2301 4.2301 6.5735 90.00 90.00 120.00
Sites, in units of the cell vectors:
Sm1 0.3333 0.6667 0.5626
Rh1 0.6667 0.3333 0.3441
Ac1 0.0000 0.0000 0.0933

Values from the calculation:
The formation energy comes out at -0.4957 eV per atom. Its polymorph energy (0 for the lowest one) is 22.0 meV/atom. Its space group is No. 156.


No. 16
First-principles (GGA-PBE) data for an optimized crystal structure of Sc2SnC, as listed in the Alexandria database.

Lattice parameters (Å, degrees): 9.0381 9.0381 9.0381 22.06 22.06 22.06
Sites, in units of the cell vectors:
Sc1 0.0786 0.0786 0.0786
Sn1 0.5000 0.5000 0.5000
Sc2 0.9214 0.9214 0.9214
C1 0.0000 0.0000 0.0000

Values from the calculation:
The formation energy comes out at 0.7014 eV per atom. Its space group is No. 166.


No. 17
First-principles (GGA-PBE) data for an optimized crystal structure of ErCo2GeH, as listed in the Alexandria database.

Lattice parameters (Å, degrees): 3.6472 5.4175 6.8863 90.00 90.00 109.67
Sites, in units of the cell vectors:
Ge1 0.2736 0.5473 0.2500
Ge2 0.7264 0.4527 0.7500
Co1 0.1574 0.3147 0.9441
H1 0.0000 0.0000 0.0000
Co2 0.8426 0.6853 0.4441
Co3 0.1574 0.3147 0.5559
H2 0.0000 0.0000 0.5000
Er1 0.4456 0.8912 0.7500
Er2 0.5544 0.1088 0.2500
Co4 0.8426 0.6853 0.0559

Values from the calculation:
Its space group is No. 63.


No. 18
First-principles (GGA-PBE) data for an optimized crystal structure of K2ScCuTe4, as listed in the Alexandria database.

Lattice parameters (Å, degrees): 7.5419 7.0604 7.0604 73.43 57.72 57.72
Sites, in units of the cell vectors:
K1 0.0000 0.5000 0.5000
Te1 0.1081 0.3253 0.0000
Sc1 0.0000 0.0000 0.0000
K2 0.5000 0.5000 0.5000
Te2 0.5666 0.0000 0.3253
Te3 0.8919 0.0000 0.6747
Cu1 0.5000 0.0000 0.0000
Te4 0.4334 0.6747 0.0000

Values from the calculation:
The formation energy from raw total energies is -5.271 eV per formula unit. Its space group is No. 121.


Table of E (eV per atom), in record order: -2.765, -6.503, -5.330, -4.115, -4.160, -3.235, -4.362, -2.934, -3.807, -4.765, -2.836, -5.692, -8.449, -6.530, -5.889, -5.771, -5.814, -3.808